(1)
The following is a DFT calculation (PBE) of a relaxed structure of Hg3BAu.

Cell lengths 4.686, 4.686, 4.686 Å; angles 90.00, 90.00, 90.00 degrees
Positions (direct):
1 Hg 0.000 0.000 0.500
2 Hg 0.000 0.500 0.000
3 Hg 0.500 0.000 0.000
4 B 0.000 0.000 0.000
5 Au 0.500 0.500 0.500

Computed properties:
energy above the lowest structure with this stoichiometry = 0.00 eV per formula unit
energy relative to the elements = 0.562 eV per atom
symmetry = Pm-3m



(2)
The following is a DFT calculation (PBE) of a relaxed structure of HgB2Au.

Cell lengths 5.992, 5.992, 5.992 Å; angles 126.22, 126.22, 79.53 degrees
Positions (direct):
1 Hg 0.000 0.000 0.000
2 Hg 0.750 0.250 0.500
3 B 0.158 0.625 0.033
4 B 0.375 0.408 0.533
5 B 0.592 0.125 0.967
6 B 0.875 0.842 0.467
7 Au 0.250 0.750 0.500
8 Au 0.500 0.500 0.000

Computed properties:
energy relative to the elements = 1.120 eV per atom
symmetry = I-42d



(3)
The following is a DFT calculation (PBE) of a relaxed structure of HgBAu2.

Cell lengths 6.032, 6.032, 6.032 Å; angles 115.90, 115.90, 97.26 degrees
Positions (direct):
1 Hg 0.000 0.000 0.000
2 Hg 0.750 0.250 0.500
3 B 0.250 0.750 0.500
4 B 0.500 0.500 0.000
5 Au 0.224 0.125 0.599
6 Au 0.375 0.776 0.901
7 Au 0.526 0.625 0.401
8 Au 0.875 0.474 0.099

Computed properties:
energy above the lowest structure with this stoichiometry = 0.00 eV per formula unit
energy relative to the elements = 0.424 eV per atom
symmetry = I-42d



(4)
The following is a DFT calculation (PBE) of a relaxed structure of HgBAu2.

Cell lengths 4.608, 4.608, 4.608 Å; angles 60.00, 60.00, 60.00 degrees
Positions (direct):
1 Hg 0.000 0.000 0.000
2 B 0.500 0.500 0.500
3 Au 0.250 0.250 0.250
4 Au 0.750 0.750 0.750

Computed properties:
energy above the lowest structure with this stoichiometry = 2.11 eV per formula unit
energy relative to the elements = 0.951 eV per atom
symmetry = Fm-3m



(5)
The following is a DFT calculation (PBE) of a relaxed structure of Hg3BAu.

Cell lengths 5.366, 5.366, 5.366 Å; angles 90.00, 90.00, 90.00 degrees
Positions (direct):
1 Hg 0.000 0.000 0.500
2 Hg 0.000 0.500 0.000
3 Hg 0.500 0.000 0.000
4 B 0.500 0.500 0.500
5 Au 0.000 0.000 0.000

Computed properties:
energy above the lowest structure with this stoichiometry = 2.86 eV per formula unit
energy relative to the elements = 1.135 eV per atom
symmetry = Pm-3m



(6)
The following is a DFT calculation (PBE) of a relaxed structure of Mg2HgBAu.

Cell lengths 5.294, 5.294, 4.060 Å; angles 90.00, 90.00, 90.00 degrees
Positions (direct):
1 Mg 0.000 0.500 0.000
2 Mg 0.500 0.000 0.000
3 Hg 0.000 0.000 0.000
4 B 0.000 0.000 0.500
5 Au 0.500 0.500 0.500

Computed properties:
energy relative to the elements = 0.593 eV per atom
symmetry = P4/mmm



(7)
The following is a DFT calculation (PBE) of a relaxed structure of HgBPAu2.

Cell lengths 4.685, 4.685, 5.364 Å; angles 90.00, 90.00, 90.00 degrees
Positions (direct):
1 Hg 0.000 0.000 0.000
2 B 0.500 0.500 0.000
3 P 0.000 0.000 0.500
4 Au 0.000 0.500 0.500
5 Au 0.500 0.000 0.500

Computed properties:
energy relative to the elements = 1.164 eV per atom
symmetry = P4/mmm



(8)
The following is a DFT calculation (PBE) of a relaxed structure of HgBPd6Au2.

Cell lengths 5.045, 5.078, 6.509 Å; angles 82.10, 74.34, 80.43 degrees
Positions (direct):
1 Hg 0.000 0.000 0.000
2 B 0.500 0.000 0.500
3 Pd 0.107 0.227 0.555
4 Pd 0.328 0.662 0.670
5 Pd 0.445 0.883 0.220
6 Pd 0.555 0.117 0.780
7 Pd 0.672 0.338 0.330
8 Pd 0.893 0.773 0.445
9 Au 0.227 0.442 0.117
10 Au 0.773 0.558 0.883

Computed properties:
energy relative to the elements = -0.199 eV per atom
symmetry = P-1



(9)
The following is a DFT calculation (PBE) of a relaxed structure of HgBPd2Au.

Cell lengths 4.268, 4.268, 4.375 Å; angles 90.00, 90.00, 90.00 degrees
Positions (direct):
1 Hg 0.000 0.000 0.000
2 B 0.500 0.500 0.500
3 Pd 0.000 0.500 0.500
4 Pd 0.500 0.000 0.500
5 Au 0.500 0.500 0.000

Computed properties:
energy relative to the elements = -0.008 eV per atom
symmetry = P4/mmm



(10)
The following is a DFT calculation (PBE) of a relaxed structure of HgBPt2Au.

Cell lengths 4.219, 4.219, 4.569 Å; angles 90.00, 90.00, 90.00 degrees
Positions (direct):
1 Hg 0.000 0.000 0.000
2 B 0.500 0.500 0.500
3 Pt 0.000 0.500 0.500
4 Pt 0.500 0.000 0.500
5 Au 0.500 0.500 0.000

Computed properties:
energy relative to the elements = 0.072 eV per atom
symmetry = P4/mmm



(11)
The following is a DFT calculation (PBE) of a relaxed structure of HgBTe2Au.

Cell lengths 5.111, 5.111, 4.381 Å; angles 90.00, 90.00, 90.00 degrees
Positions (direct):
1 Hg 0.000 0.000 0.000
2 B 0.000 0.000 0.500
3 Te 0.000 0.500 0.500
4 Te 0.500 0.000 0.500
5 Au 0.500 0.500 0.000

Computed properties:
formation energy without anion corrections = 0.7052 eV/atom
symmetry = P4/mmm



(12)
The following is a DFT calculation (PBE) of a relaxed structure of TlHg2BAu.

Cell lengths 5.048, 5.048, 4.359 Å; angles 90.00, 90.00, 90.00 degrees
Positions (direct):
1 Tl 0.000 0.000 0.000
2 Hg 0.000 0.500 0.500
3 Hg 0.500 0.000 0.500
4 B 0.500 0.500 0.500
5 Au 0.500 0.500 0.000

Computed properties:
energy relative to the elements = 0.342 eV per atom
symmetry = P4/mmm



(13)
The following is a DFT calculation (PBE) of a relaxed structure of Ho2BRh4Au2.

Cell lengths 5.882, 5.882, 5.882 Å; angles 118.74, 118.74, 92.20 degrees
Positions (direct):
1 Ho 0.250 0.750 0.500
2 Ho 0.750 0.250 0.500
3 B 0.000 0.000 0.000
4 Rh 0.248 0.248 0.496
5 Rh 0.248 0.752 0.000
6 Rh 0.752 0.248 0.000
7 Rh 0.752 0.752 0.504
8 Au 0.272 0.272 0.000
9 Au 0.728 0.728 0.000

Computed properties:
energy relative to the elements = -0.749 eV per atom
symmetry = I4/mmm



(14)
The following is a DFT calculation (PBE) of a relaxed structure of BAu2I.

Cell lengths 4.357, 3.622, 6.255 Å; angles 90.00, 107.88, 90.00 degrees
Positions (direct):
1 B 0.000 0.000 0.000
2 Au 0.209 0.500 0.914
3 Au 0.565 0.000 0.739
4 I 0.983 0.000 0.353

Computed properties:
energy above the lowest structure with this stoichiometry = 0.49 eV per formula unit
formation energy without anion corrections = 0.3532 eV/atom
symmetry = Pm



(15)
The following is a DFT calculation (PBE) of a relaxed structure of B2AuI.

Cell lengths 3.426, 4.161, 6.518 Å; angles 108.34, 104.28, 90.00 degrees
Positions (direct):
1 B 0.000 0.000 0.000
2 B 0.491 0.000 0.000
3 Au 0.764 0.519 0.039
4 I 0.068 0.814 0.622

Computed properties:
energy above the lowest structure with this stoichiometry = 0.00 eV per formula unit
formation energy without anion corrections = 0.4044 eV/atom
symmetry = P1



(16)
The following is a DFT calculation (PBE) of a relaxed structure of B2AuI.

Cell lengths 3.284, 4.201, 5.698 Å; angles 90.00, 103.96, 90.00 degrees
Positions (direct):
1 B 0.235 0.000 0.466
2 B 0.765 0.000 0.534
3 Au 0.500 0.505 0.500
4 I 0.000 0.090 0.000

Computed properties:
energy above the lowest structure with this stoichiometry = 0.00 eV per formula unit
formation energy without anion corrections = 0.4048 eV/atom
symmetry = P2



(17)
The following is a DFT calculation (PBE) of a relaxed structure of B2AuI.

Cell lengths 4.505, 4.505, 4.505 Å; angles 60.00, 60.00, 60.00 degrees
Positions (direct):
1 B 0.250 0.250 0.250
2 B 0.750 0.750 0.750
3 Au 0.000 0.000 0.000
4 I 0.500 0.500 0.500

Computed properties:
energy above the lowest structure with this stoichiometry = 6.45 eV per formula unit
formation energy without anion corrections = 2.0171 eV/atom
symmetry = Fm-3m



(18)
The following is a DFT calculation (PBE) of a relaxed structure of BAu2I.

Cell lengths 3.252, 5.269, 6.997 Å; angles 111.24, 91.33, 107.90 degrees
Positions (direct):
1 B 0.000 0.000 0.000
2 Au 0.393 0.778 0.097
3 Au 0.669 0.327 0.098
4 I 0.889 0.812 0.650

Computed properties:
energy above the lowest structure with this stoichiometry = 0.38 eV per formula unit
formation energy without anion corrections = 0.3242 eV/atom
symmetry = P1



(19)
The following is a DFT calculation (PBE) of a relaxed structure of BAu3I.

Cell lengths 4.602, 4.602, 4.602 Å; angles 90.00, 90.00, 90.00 degrees
Positions (direct):
1 B 0.000 0.000 0.000
2 Au 0.000 0.000 0.500
3 Au 0.000 0.500 0.000
4 Au 0.500 0.000 0.000
5 I 0.500 0.500 0.500

Computed properties:
energy above the lowest structure with this stoichiometry = 0.00 eV per formula unit
formation energy without anion corrections = 0.6286 eV/atom
symmetry = Pm-3m



(20)
The following is a DFT calculation (PBE) of a relaxed structure of BAu2I8.

Cell lengths 6.756, 7.129, 12.426 Å; angles 86.03, 86.94, 88.67 degrees
Positions (direct):
1 B 0.000 0.000 0.000
2 Au 0.103 0.281 0.582
3 Au 0.897 0.719 0.418
4 I 0.029 0.007 0.303
5 I 0.164 0.748 0.998
6 I 0.286 0.561 0.475
7 I 0.337 0.239 0.000
8 I 0.663 0.761 0.000
9 I 0.714 0.439 0.525
10 I 0.836 0.252 0.002
11 I 0.971 0.993 0.697

Computed properties:
formation energy without anion corrections = 0.2308 eV/atom
symmetry = P-1



(21)
The following is a DFT calculation (PBE) of a relaxed structure of BAu2I.

Cell lengths 3.746, 3.746, 6.729 Å; angles 90.00, 90.00, 90.00 degrees
Positions (direct):
1 B 0.000 0.000 0.000
2 Au 0.000 0.500 0.839
3 Au 0.500 0.000 0.161
4 I 0.000 0.000 0.500

Computed properties:
energy above the lowest structure with this stoichiometry = 0.82 eV per formula unit
formation energy without anion corrections = 0.4355 eV/atom
symmetry = P-4m2



(22)
The following is a DFT calculation (PBE) of a relaxed structure of BAu2I.

Cell lengths 4.066, 4.066, 6.878 Å; angles 105.25, 105.25, 94.32 degrees
Positions (direct):
1 B 0.000 0.000 0.000
2 Au 0.063 0.563 0.130
3 Au 0.563 0.063 0.130
4 I 0.835 0.835 0.658

Computed properties:
energy above the lowest structure with this stoichiometry = 0.00 eV per formula unit
formation energy without anion corrections = 0.2299 eV/atom
symmetry = Cm



(23)
The following is a DFT calculation (PBE) of a relaxed structure of B2AuI.

Cell lengths 3.137, 4.054, 8.666 Å; angles 78.23, 88.78, 67.30 degrees
Positions (direct):
1 B 0.000 0.000 0.000
2 B 0.497 0.000 0.000
3 Au 0.292 0.885 0.246
4 I 0.349 0.734 0.567

Computed properties:
energy above the lowest structure with this stoichiometry = 0.80 eV per formula unit
formation energy without anion corrections = 0.6039 eV/atom
symmetry = P1



(24)
The following is a DFT calculation (PBE) of a relaxed structure of BAu2I.

Cell lengths 4.068, 4.068, 6.440 Å; angles 90.00, 90.00, 94.55 degrees
Positions (direct):
1 B 0.000 0.000 0.000
2 Au 0.000 0.500 0.128
3 Au 0.500 0.000 0.128
4 I 0.000 0.000 0.663

Computed properties:
energy above the lowest structure with this stoichiometry = 0.01 eV per formula unit
formation energy without anion corrections = 0.2316 eV/atom
symmetry = Cmm2



(25)
The following is a DFT calculation (PBE) of a relaxed structure of B2AuI.

Cell lengths 6.386, 6.386, 6.386 Å; angles 128.84, 128.84, 75.27 degrees
Positions (direct):
1 B 0.061 0.625 0.936
2 B 0.375 0.311 0.436
3 B 0.689 0.125 0.064
4 B 0.875 0.939 0.564
5 Au 0.000 0.000 0.000
6 Au 0.750 0.250 0.500
7 I 0.250 0.750 0.500
8 I 0.500 0.500 0.000

Computed properties:
energy above the lowest structure with this stoichiometry = 3.02 eV per formula unit
formation energy without anion corrections = 1.1583 eV/atom
symmetry = I-42d



(26)
The following is a DFT calculation (PBE) of a relaxed structure of BAu3I.

Cell lengths 5.393, 5.393, 5.393 Å; angles 90.00, 90.00, 90.00 degrees
Positions (direct):
1 B 0.000 0.000 0.000
2 Au 0.000 0.500 0.500
3 Au 0.500 0.000 0.500
4 Au 0.500 0.500 0.000
5 I 0.500 0.500 0.500

Computed properties:
energy above the lowest structure with this stoichiometry = 5.68 eV per formula unit
formation energy without anion corrections = 1.7642 eV/atom
symmetry = Pm-3m



(27)
The following is a DFT calculation (PBE) of a relaxed structure of BAu2I.

Cell lengths 4.855, 4.855, 4.855 Å; angles 60.00, 60.00, 60.00 degrees
Positions (direct):
1 B 0.000 0.000 0.000
2 Au 0.250 0.250 0.250
3 Au 0.750 0.750 0.750
4 I 0.500 0.500 0.500

Computed properties:
energy above the lowest structure with this stoichiometry = 4.43 eV per formula unit
formation energy without anion corrections = 1.3382 eV/atom
symmetry = Fm-3m



(28)
The following is a DFT calculation (PBE) of a relaxed structure of BAu2I.

Cell lengths 3.944, 3.969, 6.807 Å; angles 91.15, 106.55, 90.05 degrees
Positions (direct):
1 B 0.000 0.000 0.000
2 Au 0.072 0.529 0.145
3 Au 0.457 0.146 0.911
4 I 0.230 0.026 0.464

Computed properties:
energy above the lowest structure with this stoichiometry = 0.82 eV per formula unit
formation energy without anion corrections = 0.4343 eV/atom
symmetry = P1